The following is a GGA-PBE calculation of a geometry-optimized Y2Zn3Ni12Pt structure, from the Alexandria database.

Calculated values
Raw total energy (eV/atom): -5.140
Energy relative to the elements (eV/atom): -0.020

Cell and atoms, written as CIF:
```
data_Y2Zn3Ni12Pt
_chemical_formula_sum 'Y6 Zn9 Ni36 Pt3'
_cell_length_a 5.0960
_cell_length_b 5.0960
_cell_length_c 34.8390
_cell_angle_alpha 90.00
_cell_angle_beta 90.00
_cell_angle_gamma 120.00
_symmetry_space_group_name_H-M 'R -3 m'
_symmetry_Int_Tables_number 166
_symmetry_space_group_name_Hall '-R 3 2"'
loop_
_atom_site_label
_atom_site_fract_x
_atom_site_fract_y
_atom_site_fract_z
Y1 0.0000 0.0000 0.1411
Zn1 0.0000 0.5000 0.0000
Ni1 0.0030 0.5015 0.1076
Ni2 0.0185 0.5093 0.6121
Pt1 0.0000 0.0000 0.5000
```